No. 1
A relaxed structure of TbErMo. Source: OQMD via LeMat-Bulk, functional PBE.

Cell lengths 4.899, 4.899, 4.899 Å; angles 60.00, 60.00, 60.00 degrees
Positions (direct):
Tb (0.750, 0.750, 0.750)
Mo (0.250, 0.250, 0.250)
Er (0.000, 0.000, 0.000)

Properties
- Calculated total energy: -5.465 eV/atom
- Energy relative to the elements: 1.2149 eV/atom
- Calculated density: 8.429 Mg/m³
- Space group: F-43m (216)

=====

No. 2
A relaxed structure of HfSn2Te. Source: OQMD via LeMat-Bulk, functional PBE.

Cell lengths 5.224, 5.224, 5.224 Å; angles 60.00, 60.00, 60.00 degrees
Positions (direct):
Hf (0.500, 0.500, 0.500)
Te (0.750, 0.750, 0.750)
Sn (0.250, 0.250, 0.250)
Sn (0.000, 0.000, 0.000)

Properties
- Calculated total energy: -5.151 eV/atom
- Calculated density: 8.950 Mg/m³
- Space group: F-43m (216)

=====

No. 3
A relaxed structure of LiTbFeSe3. Source: OQMD via LeMat-Bulk, functional PBE.

Cell lengths 6.723, 6.723, 10.791 Å; angles 90.00, 90.00, 34.37 degrees
Each line ends with the local moment (μB).
Positions (direct):
Fe (0.478, 0.478, 0.250)  3.18
Fe (0.522, 0.522, 0.750)  3.20
Se (0.907, 0.907, 0.750)  0.14
Se (0.355, 0.355, 0.419)  0.12
Tb (0.000, 0.000, 0.000)  0.01
Se (0.355, 0.355, 0.081)  0.12
Li (0.225, 0.225, 0.750)  0.00
Li (0.775, 0.775, 0.250)  0.00
Tb (0.000, 0.000, 0.500)  0.01
Se (0.093, 0.093, 0.250)  0.14
Se (0.645, 0.645, 0.919)  0.12
Se (0.645, 0.645, 0.581)  0.12

Properties
- Calculated total energy: -5.296 eV/atom
- Calculated density: 5.532 Mg/m³
- Offset from the most stable computed form: 0.062 eV per atom
- Space group: Cmcm (63)

=====

No. 4
A relaxed structure of HoEr2Sc3CuS2. Source: OQMD via LeMat-Bulk, functional PBE.

Cell lengths 3.764, 7.542, 7.542 Å; angles 119.96, 90.00, 90.00 degrees
Each line ends with the local moment (μB).
Positions (direct):
Sc (0.500, 0.251, 0.000)  0.24
S (0.500, 0.667, 0.333)  -0.01
Sc (0.500, 0.749, 0.749)  0.27
S (0.500, 0.333, 0.667)  -0.01
Er (0.000, 0.592, 0.000)  0.24
Cu (0.000, 0.999, 0.999)  0.07
Sc (0.500, 0.000, 0.251)  0.29
Ho (0.000, 0.409, 0.409)  0.22
Er (0.000, 0.000, 0.592)  0.21

Properties
- Calculated total energy: -5.728 eV/atom
- Calculated density: 6.821 Mg/m³
- Space group: Amm2 (38)

=====

No. 5
A relaxed structure of BaReAu. Source: OQMD via LeMat-Bulk, functional PBE.

Cell lengths 5.251, 5.251, 5.251 Å; angles 60.00, 60.00, 60.00 degrees
Positions (direct):
Ba (0.000, 0.000, 0.000)
Au (0.250, 0.250, 0.250)
Re (0.750, 0.750, 0.750)

Properties
- Calculated total energy: -4.141 eV/atom
- Calculated density: 8.445 Mg/m³
- Offset from the most stable computed form: 0.483 eV per atom
- Space group: F-43m (216)

=====

No. 6
A relaxed structure of PaPN3. Source: OQMD via LeMat-Bulk, functional PBE.

Cell lengths 3.870, 5.315, 6.015 Å; angles 90.00, 103.32, 90.00 degrees
Positions (direct):
N (0.147, 0.750, 0.066)
Pa (0.172, 0.250, 0.301)
P (0.424, 0.250, 0.828)
N (0.308, 0.005, 0.662)
Pa (0.828, 0.750, 0.699)
N (0.853, 0.250, 0.934)
N (0.692, 0.505, 0.338)
N (0.692, 0.995, 0.338)
P (0.576, 0.750, 0.172)
N (0.308, 0.495, 0.662)

Properties
- Calculated total energy: -8.878 eV/atom
- Calculated density: 8.386 Mg/m³
- Space group: P2_1/m (11)

=====

No. 7
A relaxed structure of Cu4Ag. Source: OQMD via LeMat-Bulk, functional PBE.

Cell lengths 4.548, 2.684, 10.789 Å; angles 90.00, 97.12, 90.00 degrees
Positions (direct):
Ag (0.899, 0.500, 0.204)
Cu (0.000, 0.000, 0.000)
Cu (0.399, 0.000, 0.200)
Cu (0.310, 0.500, 0.401)
Cu (0.601, 0.000, 0.800)
Ag (0.101, 0.500, 0.796)
Cu (0.500, 0.500, 0.000)
Cu (0.796, 0.000, 0.410)
Cu (0.690, 0.500, 0.599)
Cu (0.204, 0.000, 0.590)

Properties
- Calculated total energy: -3.457 eV/atom
- Energy relative to the elements: 0.0816 eV/atom
- Calculated density: 9.202 Mg/m³
- Offset from the most stable computed form: 0.038 eV per atom
- Space group: P2/m (10)

=====

No. 8
A relaxed structure of TbCdOs. Source: OQMD via LeMat-Bulk, functional PBE.

Cell lengths 4.621, 4.621, 4.621 Å; angles 60.00, 60.00, 60.00 degrees
Positions (direct):
Cd (0.000, 0.000, 0.000)
Tb (0.750, 0.750, 0.750)
Os (0.250, 0.250, 0.250)

Properties
- Calculated total energy: -4.961 eV/atom
- Energy relative to the elements: 0.6227 eV/atom
- Calculated density: 10.987 Mg/m³
- Space group: F-43m (216)

=====

No. 9
A relaxed structure of KSiAu3. Source: OQMD via LeMat-Bulk, functional PBE.

Cell lengths 6.893, 6.894, 7.034 Å; angles 63.97, 63.78, 66.29 degrees
Positions (direct):
Au (0.000, 0.500, 0.500)
Si (0.172, 0.673, 0.608)
Au (0.811, 0.939, 0.501)
K (0.676, 0.176, 0.000)
Au (0.000, 0.500, 0.000)
Si (0.828, 0.327, 0.392)
Au (0.189, 0.061, 0.499)
Au (0.440, 0.311, 0.501)
K (0.324, 0.824, 0.000)
Au (0.560, 0.689, 0.499)

Properties
- Calculated total energy: -3.541 eV/atom
- Calculated density: 8.397 Mg/m³
- Space group: P-1 (2)

=====

No. 10
A relaxed structure of NaAgSe. Source: OQMD via LeMat-Bulk, functional PBE.

Cell lengths 7.358, 4.315, 8.175 Å; angles 90.00, 90.00, 90.00 degrees
Positions (direct):
Ag (0.369, 0.250, 0.058)
Se (0.745, 0.250, 0.126)
Ag (0.869, 0.250, 0.442)
Ag (0.131, 0.750, 0.558)
Se (0.755, 0.750, 0.626)
Se (0.245, 0.250, 0.374)
Na (0.533, 0.750, 0.324)
Ag (0.631, 0.750, 0.942)
Na (0.967, 0.250, 0.824)
Se (0.255, 0.750, 0.874)
Na (0.467, 0.250, 0.676)
Na (0.033, 0.750, 0.176)

Properties
- Calculated total energy: -3.175 eV/atom
- Calculated density: 5.370 Mg/m³
- Space group: Pnma (62)

=====

No. 11
A relaxed structure of Ga2SiTc. Source: OQMD via LeMat-Bulk, functional PBE.

Cell lengths 4.395, 4.395, 4.395 Å; angles 60.00, 60.00, 60.00 degrees
Positions (direct):
Ga (0.500, 0.500, 0.500)
Ga (0.750, 0.750, 0.750)
Tc (0.000, 0.000, 0.000)
Si (0.250, 0.250, 0.250)

Properties
- Calculated total energy: -5.166 eV/atom
- Calculated density: 7.344 Mg/m³
- Space group: F-43m (216)

=====

No. 12
A relaxed structure of LaPm. Source: OQMD via LeMat-Bulk, functional PBE.

Cell lengths 3.711, 3.711, 6.021 Å; angles 90.00, 90.00, 120.00 degrees
Positions (direct):
Pm (0.333, 0.667, 0.250)
La (0.667, 0.333, 0.750)

Properties
- Calculated total energy: -4.802 eV/atom
- Energy relative to the elements: 0.0323 eV/atom
- Calculated density: 6.564 Mg/m³
- Offset from the most stable computed form: 0.000 eV per atom
- Space group: P-6m2 (187)

=====

What did the tenth record say?
A relaxed structure of NaAgSe. Source: OQMD via LeMat-Bulk, functional PBE.

Cell lengths 7.358, 4.315, 8.175 Å; angles 90.00, 90.00, 90.00 degrees
Positions (direct):
Ag (0.369, 0.250, 0.058)
Se (0.745, 0.250, 0.126)
Ag (0.869, 0.250, 0.442)
Ag (0.131, 0.750, 0.558)
Se (0.755, 0.750, 0.626)
Se (0.245, 0.250, 0.374)
Na (0.533, 0.750, 0.324)
Ag (0.631, 0.750, 0.942)
Na (0.967, 0.250, 0.824)
Se (0.255, 0.750, 0.874)
Na (0.467, 0.250, 0.676)
Na (0.033, 0.750, 0.176)

Properties
- Calculated total energy: -3.175 eV/atom
- Calculated density: 5.370 Mg/m³
- Space group: Pnma (62)